No. 1
Compound: MgTcO4
Source: the Alexandria database
Functional: PBE
Structure: relaxed

a = 5.8074 Å, b = 5.8074 Å, c = 6.0083 Å
α = 118.90°, β = 118.90°, γ = 90.00°
With the nearest neighbours (Å) after each atom.
Positions (direct):
Mg: 0.7500 0.2500 0.5000  4 O 1.95
Tc: 0.5000 0.5000 0.0000  4 O 1.78
O: 0.5473 0.8567 0.2394  1 Tc 1.78, 1 Mg 1.95
O: 0.6921 0.3827 0.2394  1 Tc 1.78, 1 Mg 1.95
O: 0.1433 0.3079 0.7606  1 Tc 1.78, 1 Mg 1.95
O: 0.6173 0.4527 0.7606  1 Tc 1.78, 1 Mg 1.95

Output
- distance to the lowest polymorph of the same formula (meV per atom) = 12
- space group = I-4, No. 82
- raw formation energy (eV/atom) = -1.739

No. 2
Compound: MgTcO6
Source: the Alexandria database
Functional: PBE
Structure: relaxed

a = 5.5511 Å, b = 5.5511 Å, c = 5.5511 Å
α = 60.00°, β = 60.00°, γ = 60.00°
With the nearest neighbours (Å) after each atom.
Positions (direct):
Mg: 0.5000 0.5000 0.5000  6 O 2.06
Tc: 0.0000 0.0000 0.0000  6 O 1.87
O: 0.7622 0.7622 0.2378  1 Tc 1.87, 1 Mg 2.06
O: 0.7622 0.2378 0.2378  1 Tc 1.87, 1 Mg 2.06
O: 0.2378 0.7622 0.7622  1 Tc 1.87, 1 Mg 2.06
O: 0.2378 0.2378 0.7622  1 Tc 1.87, 1 Mg 2.06
O: 0.2378 0.7622 0.2378  1 Tc 1.87, 1 Mg 2.06
O: 0.7622 0.2378 0.7622  1 Tc 1.87, 1 Mg 2.06

Output
- space group = Fm-3m, No. 225
- raw formation energy (eV/atom) = -0.887

No. 3
Compound: MgTcO2
Source: the Alexandria database
Functional: PBE
Structure: relaxed

a = 6.3479 Å, b = 6.3479 Å, c = 6.3479 Å
α = 26.25°, β = 26.25°, γ = 26.25°
With the nearest neighbours (Å) after each atom.
Positions (direct):
Mg: 0.5000 0.5000 0.5000  6 O 2.03
Tc: 0.0000 0.0000 0.0000  2 O 1.90
O: 0.8966 0.8966 0.8966  1 Tc 1.90, 3 Mg 2.03
O: 0.1034 0.1034 0.1034  1 Tc 1.90, 3 Mg 2.03

Output
- space group = R-3m, No. 166
- raw formation energy (eV/atom) = -1.588

No. 4
Compound: MgTcTeO
Source: the Alexandria database
Functional: PBE
Structure: relaxed

a = 3.4120 Å, b = 3.4120 Å, c = 7.1422 Å
α = 90.00°, β = 90.00°, γ = 120.00°
With the nearest neighbours (Å) after each atom.
Positions (direct):
Mg: 0.3333 0.6667 0.3940  3 O 1.97
Tc: 0.0000 0.0000 0.7121  1 O 2.18
Te: 0.3333 0.6667 0.9467  3 Tc 2.59
O: 0.0000 0.0000 0.4073  3 Mg 1.97, 1 Tc 2.18

Output
- distance to the lowest polymorph of the same formula (meV per atom) = 0
- space group = P3m1, No. 156
- raw formation energy (eV/atom) = -0.988